# 1
A plane-wave DFT calculation with GGA-PBE was carried out for a relaxed structure of TlPdF3.

CIF file:
```
data_TlPdF3
_chemical_formula_sum 'Tl6 Pd6 F18'
_cell_length_a 6.9731
_cell_length_b 6.9731
_cell_length_c 11.5743
_cell_angle_alpha 90.00
_cell_angle_beta 90.00
_cell_angle_gamma 120.00
_space_group_name_H-M_alt 'R -3 c'
_space_group_IT_number 167
_space_group_name_Hall '-R 3 2"c'
loop_
_atom_site_label
_atom_site_type_symbol
_atom_site_fract_x
_atom_site_fract_y
_atom_site_fract_z
Tl1 Tl 0.0000 0.0000 0.0000
Pd1 Pd 0.0000 0.0000 0.2500
F1 F 0.0000 0.3018 0.2500
```

Calculated values
calculated volume	16.25	A^3/atom
uncorrected formation energy	-1.175	eV/atom

---

# 2
A plane-wave DFT calculation with GGA-PBE was carried out for a relaxed structure of Pu2Ga4Cu3Rh.

CIF file:
```
data_Pu2Ga4Cu3Rh
_chemical_formula_sum 'Pu2 Ga4 Cu3 Rh1'
_cell_length_a 4.141
_cell_length_b 4.141
_cell_length_c 10.345
_cell_angle_alpha 90.00
_cell_angle_beta 90.00
_cell_angle_gamma 90.00
_space_group_name_H-M_alt 'P -4 m 2'
_space_group_IT_number 115
loop_
_space_group_symop_operation_xyz
'x,y,z'
'y,-x,-z'
'-x,-y,z'
'-y,x,-z'
'-x,y,z'
'-y,-x,-z'
'x,-y,z'
'y,x,-z'
loop_
_atom_site_label
_atom_site_type_symbol
_atom_site_fract_x
_atom_site_fract_y
_atom_site_fract_z
Pu1 Pu 0.000 0.500 0.250
Ga1 Ga 0.000 0.000 0.000
Ga2 Ga 0.000 0.500 0.634
Ga3 Ga 0.500 0.500 0.000
Cu1 Cu 0.000 0.500 0.867
Cu2 Cu 0.500 0.500 0.500
Rh1 Rh 0.000 0.000 0.500
```

Calculated values
ΔH_f (0 K)	-0.31	eV per atom
calculated volume	17.74	A^3/atom

---

# 3
A plane-wave DFT calculation with GGA-PBE was carried out for a relaxed structure of GaGeIrO6.

CIF file:
```
data_GaGeIrO6
_chemical_formula_sum 'Ga2 Ge2 Ir2 O12'
_cell_length_a 5.0004
_cell_length_b 5.0004
_cell_length_c 8.4822
_cell_angle_alpha 90.00
_cell_angle_beta 90.00
_cell_angle_gamma 120.00
_space_group_name_H-M_alt 'P -3 1 c'
_space_group_IT_number 163
_space_group_name_Hall '-P 3 2c'
loop_
_atom_site_label
_atom_site_type_symbol
_atom_site_fract_x
_atom_site_fract_y
_atom_site_fract_z
Ga1 Ga 0.3333 0.6667 0.2500
Ge1 Ge 0.0000 0.0000 0.0000
Ir1 Ir 0.3333 0.6667 0.7500
O1 O 0.9996 0.3324 0.1233
```

Calculated values
calculated volume	10.20	A^3/atom
uncorrected formation energy	-1.148	eV/atom

---

Number 1: density of states at the Fermi level 1.35 states/eV per atom. Number 2: density of states at the Fermi level 2.54 states/eV per atom. Number 3: density of states at the Fermi level 0.61 states/eV per atom.